Entry 1:
{
  "formula": "Tb2Pa3S8",
  "functional": "PBE",
  "state": "relaxed",
  "space_group": "No. 65",
  "lattice": [[4.685, -6.626, 0.000], [4.685, 6.626, 0.000], [0.000, 0.000, 4.760]],
  "species": ["Tb", "Tb", "Pa", "Pa", "Pa", "S", "S", "S", "S", "S", "S", "S", "S"],
  "frac_coords": [[0.229, 0.771, 0.000], [0.771, 0.229, 0.000], [0.234, 0.234, 0.500], [0.500, 0.500, 0.000], [0.766, 0.766, 0.500], [0.126, 0.874, 0.500], [0.139, 0.381, 0.000], [0.381, 0.139, 0.000], [0.385, 0.615, 0.500], [0.615, 0.385, 0.500], [0.619, 0.861, 0.000], [0.861, 0.619, 0.000], [0.874, 0.126, 0.500]]
}

---

Entry 2:
{
  "formula": "TbPaS3",
  "functional": "PBE",
  "state": "relaxed",
  "space_group": "No. 155",
  "lattice": [[3.321, 1.917, 6.808], [-3.321, 1.917, 6.808], [0.000, -3.834, 6.808]],
  "species": ["Tb", "Tb", "Pa", "Pa", "S", "S", "S", "S", "S", "S"],
  "frac_coords": [[0.155, 0.155, 0.155], [0.845, 0.845, 0.845], [0.343, 0.343, 0.343], [0.657, 0.657, 0.657], [0.056, 0.449, 0.748], [0.252, 0.551, 0.944], [0.449, 0.748, 0.056], [0.551, 0.944, 0.252], [0.748, 0.056, 0.449], [0.944, 0.252, 0.551]]
}

---

Entry 3:
{
  "formula": "TbPa2S6",
  "functional": "PBE",
  "state": "relaxed",
  "space_group": "No. 12",
  "lattice": [[6.780, -2.573, 0.000], [6.780, 2.573, 0.000], [-5.180, 0.000, 7.134]],
  "species": ["Tb", "Pa", "Pa", "S", "S", "S", "S", "S", "S"],
  "frac_coords": [[0.000, 0.000, 0.000], [0.185, 0.185, 0.614], [0.815, 0.815, 0.386], [0.034, 0.034, 0.717], [0.255, 0.255, 0.371], [0.372, 0.372, 0.949], [0.628, 0.628, 0.051], [0.745, 0.745, 0.629], [0.966, 0.966, 0.283]]
}

---

| no. | uncorrected energy (eV per atom) | formation energy from raw total energies (eV/atom) | magnetic moment (μB per cell) |
| --- | --- | --- | --- |
| 1 | -7.1449 | -1.701 | 1.8 |
| 2 | -6.9366 | -1.635 | 3.5 |
| 3 | -6.9649 | -1.589 | 1.1 |